DFT (PBE+U) results for a relaxed AlCoIrO6 crystal.

Lattice parameters (Å, degrees): 4.9739 4.9739 8.6409 90.00 90.00 120.00
Space group P-31c (No. 163)
One atom of each set of equivalent atoms:
Al: 0.3333 0.6667 0.2500 x2
Co: 0.0000 0.0000 0.0000 x2
Ir: 0.3333 0.6667 0.7500 x2
O: 0.0055 0.3520 0.1315 x12

VASP energy = -6.5585 eV/atom
Crystal system = trigonal